Material: K2NdNb5O15
Method: DFT, meta-GGA SCAN
State: PBEsol geometry

Properties
V, Å³ per atom: 13.71
Total DFT energy (no corrections), eV/atom: -16.7452
ρ, g/cm³: 4.9

Lattice parameters (Å, degrees): 3.9315 12.6638 12.6638 90.00 90.00 90.00
Last column: nearest neighbours and their distance in Å.
Atoms (fractional coordinates):
O 0.5000 0.5000 0.0000  2 Nb 1.97
Nd 0.5000 0.5000 0.5000  12 O 2.59-2.69
Nb 0.0000 0.7874 0.9231  6 O 1.92-2.06
O 0.5000 0.5796 0.6883  2 Nb 1.99
O 0.0000 0.8682 0.0591  2 Nb 2.00-2.06
O 0.0000 0.6578 0.0013  2 Nb 1.92-2.00
O 0.0000 0.4987 0.8422  2 Nb 1.92-2.00
Nb 0.0000 0.5769 0.7126  6 O 1.92-2.06
O 0.5000 0.0796 0.8117  2 Nb 1.99
O 0.0000 0.9409 0.8682  2 Nb 2.00-2.06
O 0.0000 0.3422 0.9987  2 Nb 1.92-2.00
Nb 0.0000 0.5000 0.0000  6 O 1.97-2.00
O 0.5000 0.6883 0.4204  2 Nb 1.99
K 0.5000 0.1702 0.3298  7 O 2.81-3.05
Nd 0.5000 0.0000 0.0000  12 O 2.59-2.69
O 0.0000 0.1578 0.4987  2 Nb 1.92-2.00
O 0.5000 0.0000 0.5000  2 Nb 1.97
Nb 0.0000 0.9231 0.2126  6 O 1.92-2.06
K 0.5000 0.8298 0.6702  7 O 2.81-3.05
K 0.5000 0.3298 0.8298  7 O 2.81-3.05
Nb 0.0000 0.0769 0.7874  6 O 1.92-2.06
O 0.5000 0.3117 0.5796  2 Nb 1.99
O 0.0000 0.9987 0.6578  2 Nb 1.92-2.00
O 0.0000 0.5013 0.1578  2 Nb 1.92-2.00
O 0.0000 0.1318 0.9409  2 Nb 2.00-2.06
O 0.5000 0.9204 0.1883  2 Nb 1.99
O 0.5000 0.1883 0.0796  2 Nb 1.99
O 0.0000 0.0013 0.3422  2 Nb 1.92-2.00
O 0.0000 0.3682 0.4409  2 Nb 2.00-2.06
K 0.5000 0.6702 0.1702  7 O 2.81-3.05
O 0.0000 0.7826 0.2826  2 Nb 1.99
Nb 0.0000 0.2874 0.5769  6 O 1.92-2.06
O 0.0000 0.8422 0.5013  2 Nb 1.92-2.00
O 0.0000 0.2174 0.7174  2 Nb 1.99
Nb 0.0000 0.7126 0.4231  6 O 1.92-2.06
O 0.5000 0.4204 0.3117  2 Nb 1.99
Nb 0.0000 0.0000 0.5000  6 O 1.97-2.00
O 0.0000 0.4409 0.6318  2 Nb 2.00-2.06
Nb 0.0000 0.2126 0.0769  6 O 1.92-2.06
O 0.0000 0.0591 0.1318  2 Nb 2.00-2.06
Nb 0.0000 0.4231 0.2874  6 O 1.92-2.06
O 0.0000 0.2826 0.2174  2 Nb 1.99
O 0.5000 0.8117 0.9204  2 Nb 1.99
O 0.0000 0.6318 0.5591  2 Nb 2.00-2.06
O 0.0000 0.5591 0.3682  2 Nb 2.00-2.06
O 0.0000 0.7174 0.7826  2 Nb 1.99